(1)
This record from Alexandria via LeMat-Bulk describes a relaxed CrRe2C crystal. The functional is PBE-GGA.

Summary:
M_tot, μB per cell: 0.0
Total energy, eV/f.u.: -39.5
Symmetry: I-42d (122)

Cell lengths 5.2131, 5.2131, 5.8327 Å; angles 63.46, 63.46, 90.00 degrees
Fractional positions:
Re  0.5628  0.1250  0.2500
Re  0.1872  0.6250  0.2500
Re  0.3750  0.4372  0.7500
Re  0.8750  0.8128  0.7500
C  0.5000  0.5000  0.0000
C  0.2500  0.7500  0.5000
Cr  0.0000  0.0000  0.0000
Cr  0.7500  0.2500  0.5000


(2)
This record from Alexandria via LeMat-Bulk describes a relaxed Th2CoAs3Ir4 crystal. The functional is PBE-GGA.

Summary:
M_tot, μB per cell: 1.5
Total energy, eV/f.u.: -78.2
Symmetry: P-4m2 (115)

Cell lengths 4.1972, 4.1972, 10.3324 Å; angles 90.00, 90.00, 90.00 degrees
Each line ends with the local moment (μB).
Fractional positions:
Th  0.5000  0.0000  0.2534  -0.01
Th  0.0000  0.5000  0.7466  -0.01
Co  0.5000  0.5000  0.5000  1.42
As  0.0000  0.0000  0.5000  0.01
As  0.5000  0.0000  0.8610  -0.01
As  0.0000  0.5000  0.1390  -0.01
Ir  0.5000  0.5000  0.0000  -0.05
Ir  0.0000  0.0000  0.0000  -0.04
Ir  0.5000  0.0000  0.6269  0.13
Ir  0.0000  0.5000  0.3731  0.13


(3)
This record from Alexandria via LeMat-Bulk describes a relaxed ZnMoSe2 crystal. The functional is PBE-GGA.

Summary:
M_tot, μB per cell: 0.2
Formation energy without anion corrections, eV per formula unit: -0.048
Total energy, eV/f.u.: -19.1
Symmetry: R3m (160)

Cell lengths 10.0891, 10.0891, 10.0891 Å; angles 18.05, 18.05, 18.05 degrees
Each line ends with the local moment (μB).
Fractional positions:
Mo  0.7540  0.7540  0.7540  0.17
Se  0.0298  0.0298  0.0298  0.00
Se  0.2223  0.2223  0.2223  0.02
Zn  0.4939  0.4939  0.4939  0.01


(4)
This record from Alexandria via LeMat-Bulk describes a relaxed BaSi3 crystal. The functional is PBE-GGA.

Summary:
M_tot, μB per cell: 0.0
Formation energy without anion corrections, eV per formula unit: 0.131
Total energy, eV/f.u.: -18.1
Symmetry: Immm (71)

Cell lengths 5.4005, 5.4005, 5.4005 Å; angles 132.35, 104.06, 94.79 degrees
Fractional positions:
Ba  0.0000  0.0000  0.0000
Si  0.6602  0.1602  0.5000
Si  0.5000  0.5000  0.0000
Si  0.3398  0.8398  0.5000


(5)
This record from Alexandria via LeMat-Bulk describes a relaxed RbMnBr2 crystal. The functional is PBE-GGA.

Summary:
M_tot, μB per cell: 8.7
Offset from the most stable computed form, meV per atom: 40
Formation energy without anion corrections, eV per formula unit: -2.738
Total energy, eV/f.u.: -16.2
Symmetry: I-42d (122)

Cell lengths 6.8057, 6.8057, 8.3895 Å; angles 66.07, 66.07, 90.00 degrees
Each line ends with the local moment (μB).
Fractional positions:
Mn  0.5000  0.5000  0.0000  3.90
Mn  0.2500  0.7500  0.5000  3.89
Br  0.5173  0.1250  0.2500  0.04
Br  0.2327  0.6250  0.2500  0.03
Br  0.3750  0.4827  0.7500  0.04
Br  0.8750  0.7673  0.7500  0.03
Rb  0.0000  0.0000  0.0000  0.00
Rb  0.7500  0.2500  0.5000  0.00


(6)
This record from Alexandria via LeMat-Bulk describes a relaxed Y2Sc2Si crystal. The functional is PBE-GGA.

Summary:
M_tot, μB per cell: 0.0
Formation energy without anion corrections, eV per formula unit: -0.612
Total energy, eV/f.u.: -31.6
Symmetry: P4/mbm (127)

Cell lengths 7.2593, 7.2593, 4.8487 Å; angles 90.00, 90.00, 90.00 degrees
Fractional positions:
Y  0.1591  0.6591  0.5000
Y  0.6591  0.8409  0.5000
Y  0.8409  0.3409  0.5000
Y  0.3409  0.1591  0.5000
Sc  0.3503  0.8503  0.0000
Sc  0.8503  0.6497  0.0000
Sc  0.6497  0.1497  0.0000
Sc  0.1497  0.3503  0.0000
Si  0.0000  0.0000  0.0000
Si  0.5000  0.5000  0.0000


- Number 5 is which compound?
  RbMnBr2


- Which of these has the highest M_tot?
  RbMnBr2